[1]
4
Lattice="-0.738 2.351 1.512 -0.051 -2.562 1.340 10.183 1.322 2.914" Properties=species:S:1:pos:R:3 comment="KTeOs2 | Alexandria via LeMat-Bulk | PBE | relaxed" sg="No. 65" pbc="T T T"
Os 0.201 0.026 0.058
Os 4.890 0.635 1.399
K 7.243 0.886 3.611
Te 2.151 0.225 2.154


[2]
4
Lattice="-0.574 -2.093 -1.851 -0.492 -2.338 2.796 -8.564 2.117 0.262" Properties=species:S:1:pos:R:3 comment="KTeOs2 | Alexandria via LeMat-Bulk | PBE | relaxed" sg="No. 25" pbc="T T T"
K -7.180 -0.573 0.676
Te -3.912 0.967 0.120
Os -0.629 0.155 0.019
Os -2.190 -1.806 0.524


[3]
8
Lattice="-5.979 5.021 1.009 -4.265 -5.740 3.291 -4.060 0.372 4.802" Properties=species:S:1:pos:R:3 comment="KTeOs2 | Alexandria via LeMat-Bulk | PBE | relaxed" sg="No. 122" pbc="T T T"
Os -6.599 0.396 4.992
Te 0.000 0.000 0.000
Te -7.580 2.517 3.981
Os -5.688 2.852 2.310
K -6.723 -2.864 5.122
K -5.122 -0.360 2.150
Os -12.296 -0.737 7.586
Os -4.025 -3.205 3.316


[4]
4
Lattice="-1.459 2.670 -0.988 0.684 -0.749 -3.034 -7.335 -4.232 -0.609" Properties=species:S:1:pos:R:3 comment="KTeOs2 | Alexandria via LeMat-Bulk | PBE | relaxed" sg="No. 123" pbc="T T T"
Os -3.120 -1.800 -0.259
K -5.888 -2.213 -2.468
Os -0.548 -0.316 -0.045
Te -2.221 -0.097 -2.164


[5]
4
Lattice="-2.171 4.769 1.735 -5.500 0.262 0.396 3.988 -3.438 1.659" Properties=species:S:1:pos:R:3 comment="KTeOs2 | Alexandria via LeMat-Bulk | PBE | relaxed" sg="No. 139" pbc="T T T"
K -2.674 -0.330 1.560
Os 0.000 0.000 0.000
Te -1.010 1.924 2.230
Os -3.835 2.516 1.066


[6]
3
Lattice="6.800 0.002 -0.006 4.979 4.632 0.006 -5.769 -2.624 2.466" Properties=species:S:1:pos:R:3 comment="KTeOs | Alexandria via LeMat-Bulk | PBE | relaxed" polymorph_energy_mev_per_atom=0 sg="No. 44" pbc="T T T"
Os 3.428 1.348 0.000
Te 8.406 3.307 0.000
K 11.725 4.612 0.000


The evaluated E_form (uncorrected) for the records listed, in turn: 1419; 649; 1562; 1274; 1552; 438 meV per atom.
The evaluated magnetic moment for the records listed, in turn: 0.000; 0.000; 0.000; 0.338; 0.001; 0.000 μB/atom.